1.
The following is a PBE calculation of a relaxed structure of RbLiIN2, from Alexandria.

```
RbLiIN2
1.0
5.336 0.000 0.000
0.000 5.336 0.000
0.000 0.000 7.369
Rb Li I N
1 1 1 2
Direct
0.000 0.000 0.000 Rb
0.500 0.500 0.500 Li
0.000 0.000 0.500 I
0.000 0.500 0.000 N
0.500 0.000 0.000 N
```

- E_form (uncorrected) (eV per formula unit) = 7.03
- theoretical density (kg/m3) = 1957
- symmetry = No. 123



2.
The following is a PBE calculation of a relaxed structure of Dy6Mg5Bi, from Alexandria.

```
Dy6Mg5Bi
1.0
-2.696 3.748 8.092
2.696 -3.748 8.092
2.696 3.748 -8.092
Dy Mg Bi
6 5 1
Direct
0.079 0.332 0.748 Dy
0.246 0.000 0.246 Dy
0.416 0.668 0.748 Dy
0.584 0.332 0.252 Dy
0.754 0.000 0.754 Dy
0.921 0.668 0.252 Dy
0.000 0.500 0.500 Mg
0.166 0.166 0.000 Mg
0.328 0.828 0.500 Mg
0.672 0.172 0.500 Mg
0.834 0.834 0.000 Mg
0.500 0.500 0.000 Bi
```

- formation energy from the elements (eV per atom) = -0.1911
- theoretical density (kg/m3) = 6629
- symmetry = No. 71



3.
The following is a PBE calculation of a relaxed structure of Pd5Pt2, from Alexandria.

```
Pd5Pt2
1.0
3.934 0.000 0.000
-1.960 4.432 0.000
-0.019 -0.845 6.189
Pd Pt
5 2
Direct
0.000 0.000 0.000 Pd
0.144 0.288 0.427 Pd
0.429 0.858 0.287 Pd
0.571 0.142 0.713 Pd
0.856 0.712 0.573 Pd
0.285 0.570 0.859 Pt
0.715 0.430 0.141 Pt
```

- formation energy from the elements (eV per atom) = -0.0164
- theoretical density (kg/m3) = 14196
- symmetry = No. 2



4.
The following is a PBE calculation of a relaxed structure of ZnSbH3, from Alexandria.

```
ZnSbH3
1.0
4.089 0.000 0.000
0.000 4.089 0.000
0.000 0.000 4.089
Zn Sb H
1 1 3
Direct
0.000 0.000 0.000 Zn
0.500 0.500 0.500 Sb
0.000 0.500 0.500 H
0.500 0.000 0.500 H
0.500 0.500 0.000 H
```

- theoretical density (kg/m3) = 4618
- symmetry = No. 221
- energy (eV/atom) = -2.52



5.
The following is a PBE calculation of a relaxed structure of TiNb2In2Te6, from Alexandria.

```
TiNb2In2Te6
1.0
3.280 -5.826 0.000
3.280 5.826 0.000
-2.537 0.000 8.329
Ti Nb In Te
1 2 2 6
Direct
0.000 0.000 0.000 Ti
0.304 0.696 0.000 Nb
0.696 0.304 0.000 Nb
0.152 0.848 0.500 In
0.848 0.152 0.500 In
0.099 0.417 0.222 Te
0.276 0.276 0.815 Te
0.417 0.099 0.222 Te
0.583 0.901 0.778 Te
0.724 0.724 0.185 Te
0.901 0.583 0.778 Te
```

- E_form (uncorrected) (eV per formula unit) = -4.09
- theoretical density (kg/m3) = 6411
- symmetry = No. 12



6.
The following is a PBE calculation of a relaxed structure of YW2Se, from Alexandria.

```
YW2Se
1.0
3.091 0.000 0.000
-1.546 2.677 0.000
0.000 0.000 27.501
Y W Se
3 6 3
Direct
0.000 0.000 0.000 Y
0.333 0.667 0.667 Y
0.667 0.333 0.333 Y
0.000 0.000 0.238 W
0.000 0.000 0.762 W
0.333 0.667 0.429 W
0.333 0.667 0.905 W
0.667 0.333 0.095 W
0.667 0.333 0.571 W
0.000 0.000 0.500 Se
0.333 0.667 0.167 Se
0.667 0.333 0.833 Se
```

- E_form (uncorrected) (eV per formula unit) = 2.65
- theoretical density (kg/m3) = 11724
- symmetry = No. 166



- Look up the theoretical density of the first one.
  1957 kg/m3



- The lowest theoretical density belongs to which entry?
  RbLiIN2